Computed, not measured: an optimized crystal structure of La2Tl2RuO6 at the PBE level of DFT.

Cell: 6.0632 6.0632 6.7010 Å, 97.13 97.13 119.41°
Last column: nearest neighbours and their distance in Å.
Fractional coordinates of all 11 atoms:
O 0.7710 0.7710 0.6867  1 Ru 2.09
O 0.6627 0.9581 0.3406  1 Ru 2.07
O 0.2290 0.2290 0.3133  1 Ru 2.09
O 0.3373 0.0419 0.6594  1 Ru 2.07
Tl 0.8423 0.1577 0.0000  4 O 2.77-2.80
O 0.9581 0.6627 0.3406  1 Ru 2.07
O 0.0419 0.3373 0.6594  1 Ru 2.07
Ru 0.0000 0.0000 0.5000  6 O 2.07-2.09
La 0.3362 0.6638 0.5000  6 O 2.40-2.50
Tl 0.1577 0.8423 0.0000  4 O 2.77-2.80
La 0.6638 0.3362 0.5000  6 O 2.40-2.50

Final energy   -6.71 eV/atom
DOS at the Fermi energy   5.9 states/eV per cell
V   18.91 A^3/atom

---

Computed, not measured: an optimized crystal structure of In3SnAu at the PBE level of DFT.

Cell: 7.1692 7.1692 7.1067 Å, 103.39 124.41 102.14°
Last column: nearest neighbours and their distance in Å.
Fractional coordinates of all 10 atoms:
In 0.2676 0.5488 0.8164  2 Au 2.81-2.96, 2 In 3.06
In 0.7858 0.5284 0.7130  2 Au 2.80-3.03, 1 In 3.06, 1 Sn 3.12
Au 0.3794 0.2443 0.6237  6 In 2.80-3.03, 2 Sn 2.81-2.99
Au 0.6206 0.7557 0.3763  6 In 2.80-3.03, 2 Sn 2.81-2.99
In 0.8154 0.0728 0.2870  2 Au 2.80-3.03, 1 In 3.06, 1 Sn 3.12
Sn 0.2478 0.9406 0.1884  2 Au 2.81-2.99, 2 In 3.12
In 0.2142 0.4716 0.2870  2 Au 2.80-3.03, 1 In 3.06, 1 Sn 3.12
In 0.1846 0.9272 0.7130  2 Au 2.80-3.03, 1 In 3.06, 1 Sn 3.12
Sn 0.7522 0.0594 0.8116  2 Au 2.81-2.99, 2 In 3.12
In 0.7324 0.4512 0.1836  2 Au 2.81-2.96, 2 In 3.06

Final energy   -3.15 eV/atom
Relative energy among the computed polymorphs   0 meV/atom
Energy of formation from the pure elements   -50 meV/atom
DOS at the Fermi energy   4.0 states/eV per cell
V   26.54 A^3/atom

---

Computed, not measured: an optimized crystal structure of Th2TeC at the PBE level of DFT.

Cell: 3.9053 3.9053 7.8634 Å, 75.62 75.62 60.00°
Last column: nearest neighbours and their distance in Å.
Fractional coordinates of all 4 atoms:
Th 0.0614 0.0614 0.8159  3 C 2.63
C 0.6684 0.6684 0.9948  6 Th 2.63-2.68
Te 0.4996 0.4996 0.5013  6 Th 3.26-3.27
Th 0.2707 0.2707 0.1880  3 C 2.68

Final energy   -7.61 eV/atom
DOS at the Fermi energy   0.7 states/eV per cell
V   24.87 A^3/atom

---

Computed, not measured: an optimized crystal structure of PaSi2TcMo at the PBE level of DFT.

Cell: 4.0773 4.0773 5.9682 Å, 109.97 109.97 90.00°
Last column: nearest neighbours and their distance in Å.
Fractional coordinates of all 5 atoms:
Mo 0.2500 0.7500 0.5000  4 Si 2.48
Pa 0.0000 0.0000 0.0000  8 Si 3.12, 4 Tc 3.31, 4 Mo 3.31
Si 0.3859 0.3859 0.7719  1 Si 2.38, 2 Mo 2.48, 2 Tc 2.48
Si 0.6141 0.6141 0.2281  1 Si 2.38, 2 Tc 2.48, 2 Mo 2.48
Tc 0.7500 0.2500 0.5000  4 Si 2.48

Final energy   -8.76 eV/atom
DOS at the Fermi energy   6.9 states/eV per cell
V   17.37 A^3/atom

---

Computed, not measured: an optimized crystal structure of KVSe2 at the PBE level of DFT.

Cell: 3.8757 3.8757 8.0394 Å, 90.00 90.00 120.00°
Last column: nearest neighbours and their distance in Å.
Fractional coordinates of all 4 atoms:
Se 0.6667 0.3333 0.1730  3 V 2.64
Se 0.3333 0.6667 0.8368  3 V 2.59
V 0.0000 0.0000 0.9984  6 Se 2.59-2.64
K 0.3333 0.6667 0.4469  4 Se 3.13-3.14

Final energy   -5.07 eV/atom
DOS at the Fermi energy   4.7 states/eV per cell
V   26.15 A^3/atom

---

Computed, not measured: an optimized crystal structure of AcAg4Au2 at the PBE level of DFT.

Cell: 6.5906 6.5906 6.5906 Å, 100.35 100.35 129.84°
Last column: nearest neighbours and their distance in Å.
Fractional coordinates of all 7 atoms:
Ag 0.5000 0.7253 0.2253  2 Ag 2.69, 2 Au 2.71
Ag 0.2747 0.5000 0.7747  2 Ag 2.69, 2 Au 2.71
Ac 0.0000 0.0000 0.0000  8 Ag 3.38
Au 0.7500 0.2500 0.5000  4 Ag 2.71, 2 Au 2.79
Ag 0.5000 0.2747 0.7747  2 Ag 2.69, 2 Au 2.71
Au 0.2500 0.7500 0.5000  4 Ag 2.71, 2 Au 2.79
Ag 0.7253 0.5000 0.2253  2 Ag 2.69, 2 Au 2.71

Final energy   -2.98 eV/atom
Relative energy among the computed polymorphs   470 meV/atom
Energy of formation from the pure elements   169 meV/atom
DOS at the Fermi energy   3.6 states/eV per cell
V   28.44 A^3/atom

---

Computed, not measured: an optimized crystal structure of Tl3VSn at the PBE level of DFT.

Cell: 5.3905 5.3905 5.3905 Å, 90.00 90.00 90.00°
Last column: nearest neighbours and their distance in Å.
Fractional coordinates of all 5 atoms:
Tl 0.0000 0.0000 0.5000  2 V 2.70
V 0.0000 0.0000 0.0000  6 Tl 2.70
Tl 0.5000 0.0000 0.0000  2 V 2.70
Tl 0.0000 0.5000 0.0000  2 V 2.70
Sn 0.5000 0.5000 0.5000  12 Tl 3.81

Final energy   -3.48 eV/atom
Relative energy among the computed polymorphs   0 meV/atom
Energy of formation from the pure elements   565 meV/atom
DOS at the Fermi energy   4.2 states/eV per cell
V   31.33 A^3/atom

---

Computed, not measured: an optimized crystal structure of FeAg2Mo at the PBE level of DFT.

Cell: 7.3307 7.3307 5.7558 Å, 50.45 50.45 90.00°
Last column: nearest neighbours and their distance in Å.
Fractional coordinates of all 8 atoms:
Fe 0.5000 0.5000 0.0000  2 Mo 2.50, 4 Ag 2.51
Ag 0.3750 0.4072 0.7500  2 Fe 2.51, 2 Ag 2.55
Ag 0.1572 0.6250 0.2500  2 Fe 2.51, 2 Ag 2.55
Mo 0.7500 0.2500 0.5000  2 Fe 2.50
Ag 0.8750 0.8428 0.7500  2 Fe 2.51, 2 Ag 2.55
Fe 0.2500 0.7500 0.5000  2 Mo 2.50, 4 Ag 2.51
Ag 0.5928 0.1250 0.2500  2 Fe 2.51, 2 Ag 2.55
Mo 0.0000 0.0000 0.0000  2 Fe 2.50

Final energy   -5.03 eV/atom
Relative energy among the computed polymorphs   920 meV/atom
Energy of formation from the pure elements   1223 meV/atom
DOS at the Fermi energy   15.7 states/eV per cell
V   16.81 A^3/atom

---

Computed, not measured: an optimized crystal structure of Sr3ReNi at the PBE level of DFT.

Cell: 5.5911 5.5911 5.5911 Å, 90.00 90.00 90.00°
Last column: nearest neighbours and their distance in Å.
Fractional coordinates of all 5 atoms:
Re 0.5000 0.5000 0.5000  12 Sr 3.95
Sr 0.5000 0.0000 0.0000  2 Ni 2.80
Ni 0.0000 0.0000 0.0000  6 Sr 2.80
Sr 0.0000 0.5000 0.0000  2 Ni 2.80
Sr 0.0000 0.0000 0.5000  2 Ni 2.80

Final energy   -3.63 eV/atom
Relative energy among the computed polymorphs   0 meV/atom
Energy of formation from the pure elements   1030 meV/atom
DOS at the Fermi energy   4.7 states/eV per cell
V   34.96 A^3/atom

---

Computed, not measured: an optimized crystal structure of PaSi3Pd5 at the PBE level of DFT.

Cell: 3.8233 6.6335 12.5542 Å, 90.00 90.00 106.75°
Last column: nearest neighbours and their distance in Å.
Fractional coordinates of all 18 atoms:
Pa 0.8592 0.7184 0.7500  7 Si 3.22-3.54, 8 Pd 3.38-3.50
Si 0.3851 0.7702 0.9543  5 Pd 2.30-2.53
Pd 0.2065 0.4130 0.9248  2 Si 2.30-2.43
Pd 0.2065 0.4130 0.5752  2 Si 2.30-2.43
Si 0.6149 0.2298 0.0457  5 Pd 2.30-2.53
Pd 0.5532 0.1063 0.6457  4 Si 2.48-2.53, 3 Pd 2.62-2.73
Si 0.1250 0.2499 0.7500  6 Pd 2.43-2.49
Pd 0.4468 0.8937 0.1457  4 Si 2.48-2.53, 3 Pd 2.62-2.73
Pd 0.4468 0.8937 0.3543  4 Si 2.48-2.53, 3 Pd 2.62-2.73
Pd 0.5532 0.1063 0.8543  4 Si 2.48-2.53, 3 Pd 2.62-2.73
Pd 0.7935 0.5870 0.0752  2 Si 2.30-2.43
Pa 0.1408 0.2816 0.2500  7 Si 3.22-3.54, 8 Pd 3.38-3.50
Pd 0.7935 0.5870 0.4248  2 Si 2.30-2.43
Si 0.6149 0.2298 0.4543  5 Pd 2.30-2.53
Pd 0.0000 0.0000 0.5000  4 Si 2.47, 4 Pd 2.73
Si 0.8750 0.7501 0.2500  6 Pd 2.43-2.49
Pd 0.0000 0.0000 0.0000  4 Si 2.47, 4 Pd 2.73
Si 0.3851 0.7702 0.5457  5 Pd 2.30-2.53

Final energy   -6.33 eV/atom
DOS at the Fermi energy   16.4 states/eV per cell
V   16.94 A^3/atom

---

Computed, not measured: an optimized crystal structure of Fe2GePd6 at the PBE level of DFT.

Cell: 3.9943 5.8303 6.3527 Å, 83.82 71.68 69.97°
Last column: nearest neighbours and their distance in Å.
Fractional coordinates of all 9 atoms:
Pd 0.3237 0.1827 0.1699  3 Fe 2.57-2.65, 1 Ge 2.64, 7 Pd 2.82-2.87
Pd 0.3496 0.8008 0.5000  2 Ge 2.59, 2 Fe 2.70, 6 Pd 2.82-2.89
Fe 0.3223 0.5000 0.8554  8 Pd 2.57-2.70, 2 Fe 2.65
Ge 0.0000 0.5000 0.5000  8 Pd 2.59-2.64
Pd 0.0064 0.8172 0.1699  3 Fe 2.57-2.65, 1 Ge 2.64, 7 Pd 2.82-2.87
Pd 0.6763 0.8173 0.8301  3 Fe 2.57-2.65, 1 Ge 2.64, 7 Pd 2.82-2.87
Fe 0.6777 0.5000 0.1446  8 Pd 2.57-2.70, 2 Fe 2.65
Pd 0.9936 0.1828 0.8301  3 Fe 2.57-2.65, 1 Ge 2.64, 7 Pd 2.82-2.87
Pd 0.6504 0.1992 0.5000  2 Ge 2.59, 2 Fe 2.70, 6 Pd 2.82-2.89

Final energy   -6.05 eV/atom
Energy of formation from the pure elements   -199 meV/atom
DOS at the Fermi energy   6.7 states/eV per cell
V   14.66 A^3/atom

---

Computed, not measured: an optimized crystal structure of CuRuRh2 at the PBE level of DFT.

Cell: 4.2856 4.2856 4.2861 Å, 60.00 60.00 60.00°
Last column: nearest neighbours and their distance in Å.
Fractional coordinates of all 4 atoms:
Ru 0.7504 0.7504 0.7489  4 Rh 2.62-2.63, 4 Cu 2.62-2.63
Rh 0.9999 0.9999 0.0002  4 Ru 2.62-2.63, 4 Rh 2.62-2.63
Cu 0.5001 0.5001 0.4998  4 Rh 2.62-2.63, 4 Ru 2.62-2.63
Rh 0.2496 0.2496 0.2511  4 Rh 2.62-2.63, 4 Cu 2.62-2.63

Final energy   -6.69 eV/atom
Relative energy among the computed polymorphs   296 meV/atom
Energy of formation from the pure elements   324 meV/atom
DOS at the Fermi energy   6.6 states/eV per cell
V   13.92 A^3/atom

---

Computed, not measured: an optimized crystal structure of KNaSb2Te at the PBE level of DFT.

Cell: 5.5437 5.5437 5.7748 Å, 90.00 90.00 90.00°
Last column: nearest neighbours and their distance in Å.
Fractional coordinates of all 5 atoms:
Sb 0.5000 0.0000 0.0000  2 Na 2.77
Na 0.0000 0.0000 0.0000  4 Sb 2.77, 2 Te 2.89
Te 0.0000 0.0000 0.5000  2 Na 2.89
Sb 0.0000 0.5000 0.0000  2 Na 2.77
K 0.5000 0.5000 0.5000  4 Te 3.92, 8 Sb 4.00

Final energy   -2.58 eV/atom
Relative energy among the computed polymorphs   0 meV/atom
DOS at the Fermi energy   3.8 states/eV per cell
V   35.50 A^3/atom

---

Computed, not measured: an optimized crystal structure of Na14Mg2Se9 at the PBE level of DFT.

Cell: 8.2779 8.2779 11.6364 Å, 90.00 90.00 120.00°
Last column: nearest neighbours and their distance in Å.
Fractional coordinates of all 25 atoms:
Na 0.0283 0.6748 0.9090  4 Se 2.92-3.01
Na 0.3160 0.9429 0.5917  4 Se 2.91-2.97
Na 0.0000 0.0000 0.2517  4 Se 2.93
Se 0.3333 0.6667 0.0343  1 Mg 2.64, 3 Na 2.95
Se 0.3057 0.9504 0.3369  1 Mg 2.62, 4 Na 2.91-2.93
Na 0.3252 0.3534 0.9090  4 Se 2.92-3.01
Na 0.9717 0.3252 0.0910  4 Se 2.92-3.01
Na 0.6269 0.6840 0.5917  4 Se 2.91-2.97
Se 0.0000 0.0000 0.0000  8 Na 2.93-3.01
Na 0.6748 0.6466 0.0910  4 Se 2.92-3.01
Se 0.3553 0.3057 0.6631  1 Mg 2.62, 4 Na 2.91-2.93
Se 0.6943 0.0496 0.6631  1 Mg 2.62, 4 Na 2.91-2.93
Na 0.0571 0.3731 0.5917  4 Se 2.91-2.97
Na 0.9429 0.6269 0.4083  4 Se 2.91-2.97
Na 0.6466 0.9717 0.9090  4 Se 2.92-3.01
Se 0.6667 0.3333 0.9657  1 Mg 2.64, 3 Na 2.95
Se 0.0496 0.3553 0.3369  1 Mg 2.62, 4 Na 2.91-2.93
Na 0.3731 0.3160 0.4083  4 Se 2.91-2.97
Na 0.0000 0.0000 0.7483  4 Se 2.93
Na 0.3534 0.0283 0.0910  4 Se 2.92-3.01
Se 0.6447 0.6943 0.3369  1 Mg 2.62, 4 Na 2.91-2.93
Se 0.9504 0.6447 0.6631  1 Mg 2.62, 4 Na 2.91-2.93
Mg 0.6667 0.3333 0.7391  4 Se 2.62-2.64
Na 0.6840 0.0571 0.4083  4 Se 2.91-2.97
Mg 0.3333 0.6667 0.2609  4 Se 2.62-2.64

Final energy   -3.23 eV/atom
DOS at the Fermi energy   0.0 states/eV per cell
V   27.62 A^3/atom